Here is a geometry-optimized K2IF structure from Alexandria via LeMat-Bulk. Energies are from PBE.

abc: 3.8839 3.8839 7.8109
angles: 90.00 90.00 90.00
Positions (direct):
K  0.0000  0.0000  0.2101
K  0.0000  0.0000  0.7899
I  0.5000  0.5000  0.5000
F  0.5000  0.5000  0.0000

Results
Energy relative to the lowest polymorph listed for this composition   0.2477 eV per atom
Formation energy from raw total energies   -1.850 eV/atom
Symmetry   P4/mmm, No. 123
N(E_F)   0.000 states/eV per cell